[1]
{"formula": "AgB2PdF8", "functional": "GGA-PBE", "state": "optimized geometry", "lattice": [[5.282, 0.000, 0.000], [-2.641, 4.574, 0.000], [0.000, 0.000, 7.563]], "species": ["Ag", "B", "B", "Pd", "F", "F", "F", "F", "F", "F", "F", "F"], "frac_coords": [[0.000, 0.000, 0.000], [0.333, 0.667, 0.201], [0.667, 0.333, 0.799], [0.000, 0.000, 0.500], [0.187, 0.373, 0.264], [0.187, 0.813, 0.264], [0.333, 0.667, 0.016], [0.373, 0.187, 0.736], [0.627, 0.813, 0.264], [0.667, 0.333, 0.984], [0.813, 0.187, 0.736], [0.813, 0.627, 0.736]], "dos_at_fermi_per_ev_atom": 0.5993, "total_energy_ev_per_fu": -62.00, "formation_energy_uncorrected_kj_per_mol_atoms": -206.05}

---

[2]
{"formula": "Sm3Y3Sc", "functional": "GGA-PBE", "state": "optimized geometry", "lattice": [[4.321, 2.495, 7.159], [-4.321, 2.495, 7.159], [0.000, -4.989, 7.159]], "species": ["Sm", "Sm", "Sm", "Sm", "Sm", "Sm", "Y", "Y", "Y", "Y", "Y", "Y", "Sc", "Sc"], "frac_coords": [[0.068, 0.292, 0.811], [0.189, 0.932, 0.708], [0.292, 0.811, 0.068], [0.708, 0.189, 0.932], [0.811, 0.068, 0.292], [0.932, 0.708, 0.189], [0.060, 0.726, 0.565], [0.274, 0.435, 0.940], [0.435, 0.940, 0.274], [0.565, 0.060, 0.726], [0.726, 0.565, 0.060], [0.940, 0.274, 0.435], [0.347, 0.347, 0.347], [0.653, 0.653, 0.653]], "dos_at_fermi_per_ev_atom": 1.5515, "total_energy_ev_per_fu": -38.02, "formation_enthalpy_0k_ev_per_fu": 1.86}

---

[3]
{"formula": "InGaNiHg2", "functional": "GGA-PBE", "state": "optimized geometry", "lattice": [[5.138, 0.000, 0.000], [0.000, 5.138, 0.000], [0.000, 0.000, 5.426]], "species": ["In", "Ga", "Ni", "Hg", "Hg"], "frac_coords": [[0.000, 0.000, 0.000], [0.000, 0.000, 0.500], [0.500, 0.500, 0.000], [0.000, 0.500, 0.500], [0.500, 0.000, 0.500]], "dos_at_fermi_per_ev_atom": 2.9699, "total_energy_ev_per_fu": -8.32, "formation_enthalpy_0k_ev_per_fu": 3.83}

---

[4]
{"formula": "ErNi2", "functional": "GGA-PBE", "state": "optimized geometry", "lattice": [[-1.644, 1.644, 4.395], [1.644, -1.644, 4.395], [1.644, 1.644, -4.395]], "species": ["Er", "Ni", "Ni"], "frac_coords": [[0.000, 0.000, 0.000], [0.315, 0.315, 0.000], [0.685, 0.685, 0.000]], "dos_at_fermi_per_ev_atom": 1.2032, "total_energy_ev_per_fu": -16.72, "formation_enthalpy_0k_ev_per_fu": -0.60}